(1)
First-principles (GGA-PBE) data for ZrHgTe2 after structural relaxation, as listed in Alexandria.

Lattice parameters (Å, degrees): 3.902 7.551 8.056 78.08 104.14 104.99
Fractional positions:
Te 0.067 0.763 0.223
Te 0.753 0.723 0.631
Te 0.036 0.292 0.627
Te 0.785 0.193 0.227
Hg 0.518 0.985 0.896
Hg 0.302 0.501 0.958
Zr 0.486 0.472 0.349
Zr 0.335 0.014 0.505

* crystal system: triclinic
* E_form (uncorrected): -655 meV per atom

***

(2)
First-principles (GGA-PBE) data for ZrHgTe2 after structural relaxation, as listed in Alexandria.

Lattice parameters (Å, degrees): 14.401 14.401 5.760 90.00 90.00 167.49
Fractional positions:
Te 0.056 0.944 0.750
Te 0.944 0.056 0.250
Te 0.146 0.854 0.250
Te 0.854 0.146 0.750
Hg 0.276 0.724 0.250
Hg 0.724 0.276 0.750
Zr 0.955 0.045 0.750
Zr 0.045 0.955 0.250

* crystal system: orthorhombic
* E_form (uncorrected): -91 meV per atom

***

(3)
First-principles (GGA-PBE) data for ZrHg2Te after structural relaxation, as listed in Alexandria.

Lattice parameters (Å, degrees): 5.240 5.240 3.901 90.00 90.00 112.79
Fractional positions:
Zr 0.000 0.500 0.500
Hg 0.000 0.000 0.000
Hg 0.500 0.500 0.000
Te 0.500 0.000 0.500

* crystal system: orthorhombic
* E_form (uncorrected): -33 meV per atom

***

(4)
First-principles (GGA-PBE) data for ZrHgTe2 after structural relaxation, as listed in Alexandria.

Lattice parameters (Å, degrees): 7.557 8.366 6.934 90.00 90.00 90.00
Fractional positions:
Zr 0.344 0.500 0.035
Zr 0.844 0.000 0.035
Zr 0.156 0.000 0.535
Zr 0.656 0.500 0.535
Te 0.143 0.201 0.177
Te 0.857 0.799 0.677
Te 0.143 0.799 0.177
Te 0.643 0.701 0.177
Te 0.357 0.299 0.677
Te 0.357 0.701 0.677
Te 0.857 0.201 0.677
Te 0.643 0.299 0.177
Hg 0.990 0.500 0.861
Hg 0.510 0.000 0.361
Hg 0.490 0.000 0.861
Hg 0.010 0.500 0.361

* crystal system: orthorhombic
* E_form (uncorrected): -426 meV per atom

***

(5)
First-principles (GGA-PBE) data for Zr2HgTe after structural relaxation, as listed in Alexandria.

Lattice parameters (Å, degrees): 5.688 5.688 4.921 81.03 81.03 36.19
Fractional positions:
Zr 0.012 0.012 0.898
Zr 0.247 0.247 0.344
Te 0.737 0.737 0.851
Hg 0.505 0.505 0.406

* crystal system: monoclinic
* energy above the lowest structure with this stoichiometry: 0.08 eV/f.u.
* E_form (uncorrected): -338 meV per atom

***

(6)
First-principles (GGA-PBE) data for Zr2HgTe after structural relaxation, as listed in Alexandria.

Lattice parameters (Å, degrees): 5.017 5.017 5.017 60.00 60.00 60.00
Fractional positions:
Zr 0.750 0.750 0.750
Zr 0.250 0.250 0.250
Hg 0.500 0.500 0.500
Te 0.000 0.000 0.000

* crystal system: cubic
* energy above the lowest structure with this stoichiometry: 0.27 eV/f.u.
* E_form (uncorrected): -290 meV per atom

***

(7)
First-principles (GGA-PBE) data for ZrHgTe2 after structural relaxation, as listed in Alexandria.

Lattice parameters (Å, degrees): 13.171 5.914 5.914 81.83 124.32 55.68
Fractional positions:
Te 0.143 0.266 0.465
Te 0.812 0.212 0.874
Te 0.312 0.626 0.288
Te 0.643 0.035 0.234
Hg 0.350 0.058 0.226
Hg 0.850 0.274 0.442
Zr 0.212 0.651 0.671
Zr 0.712 0.829 0.849

* crystal system: monoclinic
* E_form (uncorrected): -453 meV per atom

***

(8)
First-principles (GGA-PBE) data for Zr2HgTe after structural relaxation, as listed in Alexandria.

Lattice parameters (Å, degrees): 3.900 3.900 6.178 90.00 90.00 90.00
Fractional positions:
Hg 0.000 0.000 0.461
Te 0.500 0.500 0.786
Zr 0.500 0.500 0.272
Zr 0.000 0.000 0.981

* crystal system: tetragonal
* energy above the lowest structure with this stoichiometry: 0.08 eV/f.u.
* E_form (uncorrected): -337 meV per atom